1.
# RbPIO2

A PBEsol-optimized structure of RbPIO2 (SCAN, Alexandria via LeMat-Bulk).

Cell lengths 4.6096, 4.6096, 7.1885 Å; angles 90.00, 90.00, 90.00 degrees
Site moments in Bohr magnetons follow the coordinates.
Fractional coordinates of all 5 atoms:
I: 0.0000 0.0000 0.5000  -0.03
P: 0.5000 0.5000 0.5000  0.85
O: 0.0000 0.5000 0.0000  1.16
O: 0.5000 0.0000 0.0000  1.16
Rb: 0.0000 0.0000 0.0000  0.16

- Space-group type: P4/mmm (123)
- Uncorrected formation energy: 93 kJ/mol of atoms
- Calculated density: 3.0 g/cm3
- Total magnetization: 4.80 μB/cell
- E: -15.106 eV per atom

2.
# TeMo2AuI

A PBEsol-optimized structure of TeMo2AuI (SCAN, Alexandria via LeMat-Bulk).

Cell lengths 5.1817, 5.1817, 5.1151 Å; angles 90.00, 90.00, 90.00 degrees
Site moments in Bohr magnetons follow the coordinates.
Fractional coordinates of all 5 atoms:
I: 0.5000 0.5000 0.5000  0.09
Mo: 0.0000 0.5000 0.0000  3.25
Mo: 0.5000 0.0000 0.0000  3.25
Te: 0.0000 0.0000 0.0000  -0.09
Au: 0.0000 0.0000 0.5000  0.03

- Space-group type: P4/mmm (123)
- Uncorrected formation energy: 135 kJ/mol of atoms
- Calculated density: 7.8 g/cm3
- Total magnetization: 7.40 μB/cell
- E: -41.190 eV per atom

3.
# Re2NiBr

A PBEsol-optimized structure of Re2NiBr (SCAN, Alexandria via LeMat-Bulk).

Cell lengths 3.0650, 4.0900, 5.5308 Å; angles 111.67, 106.05, 90.08 degrees
Fractional coordinates of all 4 atoms:
Br: 0.0000 0.5000 0.0000
Ni: 0.5000 0.0000 0.0000
Re: 0.0000 0.5000 0.5000
Re: 0.5000 0.0000 0.5000

- Space-group type: C2/m (12)
- Uncorrected formation energy: 114 kJ/mol of atoms
- Calculated density: 13.8 g/cm3
- Total magnetization: 0.00 μB/cell
- E: -43.280 eV per atom